1.
Entry from Alexandria via LeMat-Bulk: an optimized crystal structure of HfOs2Pt (PBE-GGA).

The energy of formation from the pure elements comes out at 6.2 kJ/mol of atoms. For the total magnetization, the calculation gives 0.00 μB/f.u.

Cell: 4.509 4.509 4.509 Å, 60.00 60.00 60.00°
Positions (direct):
Pt1 0.500 0.500 0.500
Os1 0.750 0.750 0.750
Hf1 0.000 0.000 0.000
Os2 0.250 0.250 0.250

=====

2.
Entry from Alexandria via LeMat-Bulk: an optimized crystal structure of AsIrW (PBE-GGA).

The energy of formation from the pure elements comes out at 18.8 kJ/mol of atoms. The energy above the most stable polymorph in this dataset is 10.18 kJ per mole of atoms. For the total magnetization, the calculation gives 0.00 μB/f.u.

Cell: 4.323 4.323 2.877 Å, 90.00 90.00 120.00°
Positions (direct):
Ir1 0.333 0.667 0.275
W1 0.667 0.333 0.784
As1 0.000 0.000 0.941

=====

3.
Entry from Alexandria via LeMat-Bulk: an optimized crystal structure of HPd3Pt (PBE-GGA).

The energy above the most stable polymorph in this dataset is 55.67 kJ per mole of atoms. For the total magnetization, the calculation gives 0.00 μB/f.u.

Cell: 3.906 3.906 6.046 Å, 90.00 90.00 90.00°
Positions (direct):
Pd1 0.500 0.000 0.449
Pt1 0.000 0.000 0.156
H1 0.500 0.500 0.461
Pd2 0.000 0.000 0.748
Pd3 0.000 0.500 0.449

=====

4.
Entry from Alexandria via LeMat-Bulk: an optimized crystal structure of SiIrAu3 (PBE-GGA).

The energy above the most stable polymorph in this dataset is 34.97 kJ per mole of atoms. For the total magnetization, the calculation gives 0.00 μB/f.u.

Cell: 5.010 5.010 5.010 Å, 90.00 90.00 90.00°
Positions (direct):
Ir1 0.000 0.000 0.000
Si1 0.500 0.500 0.500
Au1 0.000 0.500 0.000
Au2 0.000 0.000 0.500
Au3 0.500 0.000 0.000

=====

5.
Entry from Alexandria via LeMat-Bulk: an optimized crystal structure of NaTlFeCl4 (PBE-GGA).

The calculated total energy comes out at -54.346 eV per cell. For the total magnetization, the calculation gives 4.00 μB/f.u.

Cell: 6.899 7.139 8.550 Å, 90.00 107.00 90.00°
Positions (direct):
Cl1 0.435 0.750 0.150
Cl2 0.565 0.250 0.850
Tl1 0.250 0.250 0.063
Cl3 0.015 0.996 0.281
Cl4 0.015 0.504 0.281
Tl2 0.750 0.750 0.937
Cl5 0.985 0.004 0.719
Fe1 0.759 0.250 0.674
Cl6 0.543 0.250 0.416
Cl7 0.985 0.496 0.719
Na1 0.216 0.250 0.554
Cl8 0.457 0.750 0.584
Na2 0.784 0.750 0.446
Fe2 0.241 0.750 0.326

=====

6.
Entry from Alexandria via LeMat-Bulk: an optimized crystal structure of Os2RhAu (PBE-GGA).

The energy of formation from the pure elements comes out at 58.1 kJ/mol of atoms. The energy above the most stable polymorph in this dataset is 37.35 kJ per mole of atoms. For the total magnetization, the calculation gives 0.00 μB/f.u.

Cell: 2.715 2.715 9.695 Å, 90.00 90.00 119.64°
Positions (direct):
Rh1 0.500 0.500 0.500
Os1 0.000 0.000 0.738
Au1 0.500 0.500 0.000
Os2 0.000 0.000 0.262

=====

7.
Entry from Alexandria via LeMat-Bulk: an optimized crystal structure of CuSi (PBE-GGA).

The calculated total energy comes out at -27.592 eV per cell. For the total magnetization, the calculation gives 0.00 μB/f.u.

Cell: 4.629 4.629 7.414 Å, 71.68 71.68 32.14°
Positions (direct):
Cu1 0.598 0.598 0.247
Si1 0.270 0.270 0.945
Si2 0.994 0.994 0.571
Cu2 0.978 0.978 0.017
Si3 0.303 0.303 0.356
Cu3 0.691 0.691 0.697

=====

8.
Entry from Alexandria via LeMat-Bulk: an optimized crystal structure of Sm2Ho13 (PBE-GGA).

The energy of formation from the pure elements comes out at 4.7 kJ/mol of atoms. For the total magnetization, the calculation gives 0.00 μB/f.u.

Cell: 6.578 8.688 8.951 Å, 110.89 84.00 99.29°
Positions (direct):
Ho1 0.865 0.197 0.734
Ho2 0.467 0.803 0.935
Ho3 0.762 0.576 0.025
Ho4 0.238 0.424 0.975
Ho5 0.334 0.001 0.668
Ho6 0.666 0.999 0.332
Sm1 0.801 0.805 0.603
Ho7 0.429 0.577 0.359
Ho8 0.096 0.576 0.693
Sm2 0.199 0.195 0.397
Ho9 0.904 0.424 0.307
Ho10 0.000 0.000 0.000
Ho11 0.533 0.197 0.065
Ho12 0.571 0.423 0.641
Ho13 0.135 0.803 0.266

=====

9.
Entry from Alexandria via LeMat-Bulk: an optimized crystal structure of Rb2In12Ga7 (PBE-GGA).

The energy of formation from the pure elements comes out at -3.1 kJ/mol of atoms. For the total magnetization, the calculation gives 0.00 μB/f.u.

Cell: 4.766 11.713 11.713 Å, 120.00 90.00 90.00°
Positions (direct):
Rb1 0.247 0.333 0.667
In1 0.231 0.137 0.885
In2 0.748 0.366 0.935
Rb2 0.753 0.667 0.333
Ga1 0.500 0.000 0.000
In3 0.231 0.115 0.252
Ga2 0.257 0.894 0.304
In4 0.769 0.885 0.748
In5 0.748 0.569 0.634
Ga3 0.743 0.304 0.410
In6 0.252 0.431 0.366
Ga4 0.743 0.590 0.894
In7 0.231 0.748 0.863
In8 0.769 0.863 0.115
In9 0.252 0.935 0.569
In10 0.252 0.634 0.065
In11 0.748 0.065 0.431
Ga5 0.743 0.106 0.696
Ga6 0.257 0.696 0.590
Ga7 0.257 0.410 0.106
In12 0.769 0.252 0.137

=====

10.
Entry from Alexandria via LeMat-Bulk: an optimized crystal structure of Pm2ZnIn (PBE-GGA).

The energy of formation from the pure elements comes out at -39.4 kJ/mol of atoms. For the total magnetization, the calculation gives 0.00 μB/f.u.

Cell: 3.723 3.723 7.666 Å, 90.00 90.00 90.00°
Positions (direct):
Pm1 0.000 0.000 0.769
In1 0.500 0.500 0.500
Zn1 0.500 0.500 0.000
Pm2 0.000 0.000 0.231

=====

11.
Entry from Alexandria via LeMat-Bulk: an optimized crystal structure of HfTaReTc (PBE-GGA).

The energy of formation from the pure elements comes out at -44.0 kJ/mol of atoms. For the total magnetization, the calculation gives 0.00 μB/f.u.

Cell: 4.564 4.564 4.564 Å, 60.00 60.00 60.00°
Positions (direct):
Re1 0.750 0.750 0.750
Hf1 0.500 0.500 0.500
Tc1 0.250 0.250 0.250
Ta1 0.000 0.000 0.000

=====

12.
Entry from Alexandria via LeMat-Bulk: an optimized crystal structure of SnP2BrO (PBE-GGA).

The energy above the most stable polymorph in this dataset is 0.00 kJ per mole of atoms. For the total magnetization, the calculation gives 0.00 μB/f.u.

Cell: 5.247 5.247 3.940 Å, 90.00 90.00 90.00°
Positions (direct):
P1 0.500 0.000 0.000
Br1 0.500 0.500 0.500
Sn1 0.000 0.000 0.000
P2 0.000 0.500 0.000
O1 0.000 0.000 0.500

=====

13.
Entry from Alexandria via LeMat-Bulk: an optimized crystal structure of Pa2GaNi6 (PBE-GGA).

The energy of formation from the pure elements comes out at -12.5 kJ/mol of atoms. The energy above the most stable polymorph in this dataset is 27.38 kJ per mole of atoms. For the total magnetization, the calculation gives 0.00 μB/f.u.

Cell: 3.343 7.696 7.696 Å, 48.30 77.45 77.45°
Positions (direct):
Ni1 0.500 0.293 0.707
Ni2 0.500 0.707 0.293
Ni3 0.320 0.373 0.988
Ga1 0.000 0.000 0.000
Pa1 0.866 0.634 0.634
Ni4 0.320 0.988 0.373
Pa2 0.134 0.366 0.366
Ni5 0.680 0.627 0.012
Ni6 0.680 0.012 0.627

=====

14.
Entry from Alexandria via LeMat-Bulk: an optimized crystal structure of Ac14Ru3Au6 (PBE-GGA).

The energy of formation from the pure elements comes out at -45.1 kJ/mol of atoms. For the total magnetization, the calculation gives 0.00 μB/f.u.

Cell: 7.599 10.941 10.941 Å, 120.00 90.00 90.00°
Positions (direct):
Ac1 0.671 0.793 0.586
Ac2 0.201 0.928 0.464
Ac3 0.954 0.333 0.667
Ac4 0.671 0.793 0.207
Ac5 0.518 0.210 0.420
Ru1 0.313 0.333 0.667
Ac6 0.201 0.536 0.464
Ac7 0.671 0.414 0.207
Ac8 0.009 0.752 0.876
Au1 0.276 0.854 0.707
Ru2 0.810 0.000 0.000
Ru3 0.428 0.667 0.333
Ac9 0.450 0.000 0.000
Au2 0.787 0.037 0.518
Ac10 0.009 0.124 0.876
Au3 0.276 0.293 0.147
Au4 0.787 0.481 0.963
Au5 0.787 0.482 0.519
Ac11 0.518 0.580 0.790
Ac12 0.009 0.124 0.248
Au6 0.276 0.853 0.146
Ac13 0.201 0.536 0.072
Ac14 0.518 0.210 0.790

=====

15.
Entry from Alexandria via LeMat-Bulk: an optimized crystal structure of Y2Zn2InPt5 (PBE-GGA).

The energy of formation from the pure elements comes out at -80.6 kJ/mol of atoms. For the total magnetization, the calculation gives 0.00 μB/f.u.

Cell: 3.857 9.686 9.686 Å, 90.00 90.00 90.00°
Positions (direct):
Y1 0.000 0.176 0.324
In1 0.000 0.500 0.500
Pt1 0.500 0.933 0.208
Pt2 0.500 0.208 0.067
Pt3 0.500 0.067 0.792
Pt4 0.500 0.792 0.933
In2 0.000 0.000 0.000
Y2 0.000 0.824 0.676
Pt5 0.500 0.433 0.292
Pt6 0.500 0.000 0.500
Y3 0.000 0.676 0.176
Zn1 0.000 0.120 0.620
Zn2 0.000 0.380 0.120
Pt7 0.500 0.708 0.433
Y4 0.000 0.324 0.824
Pt8 0.500 0.567 0.708
Zn3 0.000 0.620 0.880
Zn4 0.000 0.880 0.380
Pt9 0.500 0.500 0.000
Pt10 0.500 0.292 0.567

=====

16.
Entry from Alexandria via LeMat-Bulk: an optimized crystal structure of CdTeAs2 (PBE-GGA).

The energy above the most stable polymorph in this dataset is 38.67 kJ per mole of atoms. For the total magnetization, the calculation gives 0.00 μB/f.u.

Cell: 3.673 5.143 4.840 Å, 90.00 90.00 90.00°
Positions (direct):
Cd1 0.500 0.000 0.500
As1 0.000 0.000 0.000
As2 0.500 0.500 0.000
Te1 0.000 0.500 0.500

=====

17.
Entry from Alexandria via LeMat-Bulk: an optimized crystal structure of CrInPt4 (PBE-GGA).

The energy of formation from the pure elements comes out at -7.6 kJ/mol of atoms. For the total magnetization, the calculation gives 3.72 μB/f.u.

Cell: 5.310 5.310 5.310 Å, 60.00 60.00 60.00°
Positions (direct):
In1 0.000 0.000 0.000
Cr1 0.750 0.750 0.750
Pt1 0.875 0.375 0.375
Pt2 0.375 0.375 0.375
Pt3 0.375 0.375 0.875
Pt4 0.375 0.875 0.375

=====

18.
Entry from Alexandria via LeMat-Bulk: an optimized crystal structure of Be2AsC (PBE-GGA).

The energy of formation from the pure elements comes out at 46.0 kJ/mol of atoms. The energy above the most stable polymorph in this dataset is 0.00 kJ per mole of atoms. For the total magnetization, the calculation gives 0.00 μB/f.u.

Cell: 3.945 3.945 6.354 Å, 71.91 71.91 90.00°
Positions (direct):
C1 0.250 0.750 0.500
As1 0.000 0.000 0.000
C2 0.500 0.500 0.000
Be1 0.875 0.749 0.750
Be2 0.251 0.625 0.250
As2 0.750 0.250 0.500
Be3 0.375 0.501 0.750
Be4 0.499 0.125 0.250

=====

19.
Entry from Alexandria via LeMat-Bulk: an optimized crystal structure of Na3Bi4Pd4 (PBE-GGA).

The energy of formation from the pure elements comes out at -23.6 kJ/mol of atoms. The energy above the most stable polymorph in this dataset is 0.00 kJ per mole of atoms. For the total magnetization, the calculation gives 0.00 μB/f.u.

Cell: 7.282 7.282 7.282 Å, 109.47 109.47 109.47°
Positions (direct):
Bi1 0.382 0.382 0.382
Bi2 0.000 0.000 0.618
Pd1 0.745 0.745 0.745
Pd2 0.000 0.255 0.000
Bi3 0.618 0.000 0.000
Na1 0.000 0.500 0.500
Pd3 0.000 0.000 0.255
Na2 0.500 0.000 0.500
Bi4 0.000 0.618 0.000
Na3 0.500 0.500 0.000
Pd4 0.255 0.000 0.000

=====

20.
Entry from Alexandria via LeMat-Bulk: an optimized crystal structure of SbAu4 (PBE-GGA).

The energy above the most stable polymorph in this dataset is 3.29 kJ per mole of atoms. For the total magnetization, the calculation gives 0.00 μB/f.u.

Cell: 4.737 5.820 8.145 Å, 110.93 106.90 90.00°
Positions (direct):
Au1 0.500 0.000 0.000
Sb1 0.914 0.164 0.828
Au2 0.124 0.374 0.248
Sb2 0.086 0.836 0.172
Au3 0.305 0.303 0.609
Au4 0.876 0.626 0.752
Au5 0.695 0.697 0.391
Au6 0.500 0.500 0.000
Au7 0.695 0.194 0.391
Au8 0.305 0.806 0.609

=====

21.
Entry from Alexandria via LeMat-Bulk: an optimized crystal structure of BeSb2ICl (PBE-GGA).

The energy above the most stable polymorph in this dataset is 0.00 kJ per mole of atoms. For the total magnetization, the calculation gives 0.00 μB/f.u.

Cell: 5.019 5.019 5.155 Å, 90.00 90.00 90.00°
Positions (direct):
Sb1 0.000 0.500 0.000
I1 0.000 0.000 0.500
Cl1 0.500 0.500 0.500
Be1 0.000 0.000 0.000
Sb2 0.500 0.000 0.000

=====

22.
Entry from Alexandria via LeMat-Bulk: an optimized crystal structure of ErZrCu (PBE-GGA).

The energy of formation from the pure elements comes out at 13.8 kJ/mol of atoms. The energy above the most stable polymorph in this dataset is 25.41 kJ per mole of atoms. For the total magnetization, the calculation gives 0.00 μB/f.u.

Cell: 3.955 4.463 4.463 Å, 120.00 90.00 90.00°
Positions (direct):
Cu1 0.167 0.333 0.667
Zr1 0.167 0.000 0.000
Er1 0.667 0.667 0.333

=====

23.
Entry from Alexandria via LeMat-Bulk: an optimized crystal structure of Sm3RuAu (PBE-GGA).

The energy of formation from the pure elements comes out at -44.4 kJ/mol of atoms. For the total magnetization, the calculation gives 0.00 μB/f.u.

Cell: 8.496 7.347 8.826 Å, 90.00 75.00 90.00°
Positions (direct):
Sm1 0.017 0.819 0.848
Ru1 0.979 0.687 0.569
Au1 0.807 0.542 0.085
Sm2 0.483 0.319 0.152
Ru2 0.521 0.187 0.431
Sm3 0.287 0.509 0.541
Sm4 0.787 0.991 0.541
Sm5 0.517 0.681 0.848
Sm6 0.713 0.491 0.459
Ru3 0.021 0.313 0.431
Au2 0.307 0.958 0.085
Sm7 0.592 0.852 0.234
Sm8 0.908 0.352 0.766
Au3 0.193 0.458 0.915
Au4 0.693 0.042 0.915
Ru4 0.479 0.813 0.569
Sm9 0.092 0.648 0.234
Sm10 0.983 0.181 0.152
Sm11 0.408 0.148 0.766
Sm12 0.213 0.009 0.459